(1)
BaZrNi2 | PBE-GGA | relaxed

Cell lengths 5.030, 5.030, 3.251 Å; angles 90.00, 90.00, 90.00 degrees
Space group P4/mmm (No. 123)
Unique sites:
Ba1 0.000 0.000 0.000 x1
Zr1 0.500 0.500 0.000 x1
Ni1 0.000 0.500 0.500 x2

Results
Calculated volume (Å³/atom): 20.6
Magnetization (μB per cell): 0.0
ΔH_f (0 K) (meV/atom): 263
Relative energy among the computed polymorphs (meV/atom): 352
Energy (eV per atom): -5.245

(2)
MgAg2Ir | PBE-GGA | relaxed

Cell lengths 4.135, 4.135, 7.814 Å; angles 90.00, 90.00, 90.00 degrees
Space group I-4m2 (No. 119)
Unique sites:
Mg1 0.000 0.000 0.000 x2
Ag1 0.000 0.000 0.500 x2
Ag2 0.000 0.500 0.750 x2
Ir1 0.000 0.500 0.250 x2

Results
Calculated volume (Å³/atom): 16.7
Magnetization (μB per cell): 0.0
ΔH_f (0 K) (meV/atom): 44
Energy (eV per atom): -3.996

(3)
KLiMg2Au | PBE-GGA | relaxed

Cell lengths 5.243, 5.243, 5.297 Å; angles 90.00, 90.00, 90.00 degrees
Space group P4/mmm (No. 123)
Unique sites:
K1 0.000 0.000 0.000 x1
Li1 0.500 0.500 0.000 x1
Mg1 0.000 0.500 0.500 x2
Au1 0.500 0.500 0.500 x1

Results
Calculated volume (Å³/atom): 29.1
Magnetization (μB per cell): 0.0
ΔH_f (0 K) (meV/atom): -179
Energy (eV per atom): -2.074

(4)
KIr2Os | PBE-GGA | relaxed

Cell lengths 11.475, 2.692, 6.228 Å; angles 90.00, 112.86, 90.00 degrees
Space group Cm (No. 8)
Unique sites:
K1 0.000 0.000 0.000 x2
Ir1 0.188 0.000 0.665 x2
Ir2 0.480 0.000 0.476 x2
Os1 0.284 0.500 0.433 x2

Results
Calculated volume (Å³/atom): 22.2
Magnetization (μB per cell): 0.0
ΔH_f (0 K) (meV/atom): 718
Relative energy among the computed polymorphs (meV/atom): 237
Energy (eV per atom): -6.794

(5)
SiAgPd2Ru | PBE-GGA | relaxed

Cell lengths 4.901, 4.901, 4.441 Å; angles 90.00, 90.00, 90.00 degrees
Space group P4/mmm (No. 123)
Unique sites:
Si1 0.000 0.000 0.000 x1
Ag1 0.000 0.000 0.500 x1
Pd1 0.000 0.500 0.500 x2
Ru1 0.500 0.500 0.000 x1

Results
Calculated volume (Å³/atom): 21.3
Magnetization (μB per cell): 2.6
Energy (eV per atom): -4.110
Formation energy from raw total energies (eV/atom): 1.478

(6)
Ba2Pd2S | PBE-GGA | relaxed

Cell lengths 7.973, 7.973, 4.267 Å; angles 90.00, 90.00, 90.00 degrees
Space group P4/mbm (No. 127)
Unique sites:
Ba1 0.193 0.307 0.000 x4
Pd1 0.116 0.616 0.500 x4
S1 0.000 0.000 0.500 x2

Results
Calculated volume (Å³/atom): 27.1
Magnetization (μB per cell): 0.0
Relative energy among the computed polymorphs (meV/atom): 240
Energy (eV per atom): -4.377
Formation energy from raw total energies (eV/atom): -0.706

> calculated volume of number 6 (Ba2Pd2S)?

27.1 Å³/atom

> What is the energy in the first record?

-5.245 eV per atom

Repeat the first record exactly.
BaZrNi2 | PBE-GGA | relaxed

Cell lengths 5.030, 5.030, 3.251 Å; angles 90.00, 90.00, 90.00 degrees
Space group P4/mmm (No. 123)
Unique sites:
Ba1 0.000 0.000 0.000 x1
Zr1 0.500 0.500 0.000 x1
Ni1 0.000 0.500 0.500 x2

Results
Calculated volume (Å³/atom): 20.6
Magnetization (μB per cell): 0.0
ΔH_f (0 K) (meV/atom): 263
Relative energy among the computed polymorphs (meV/atom): 352
Energy (eV per atom): -5.245